[1]
16
Lattice="1.967 -5.903 0.000 1.967 5.903 0.000 0.000 0.000 15.274" Properties=species:S:1:pos:R:3 comment="Ce3Sc2Ru3 | the Alexandria database | GGA-PBE | optimized geometry" spacegroup="Cmcm (63)" e_tot_ev_per_atom=-7.645 dos_at_fermi_per_ev_cell=21.34 pbc="T T T"
Ce 1.967 5.518 9.582
Ce 1.967 5.518 13.329
Ce 1.967 2.190 11.455
Ce 1.967 -2.190 3.818
Ce 1.967 -5.518 1.945
Ce 1.967 -5.518 5.692
Sc 1.967 3.000 1.169
Sc 1.967 3.000 6.467
Sc 1.967 -3.000 8.806
Sc 1.967 -3.000 14.104
Ru 1.967 1.851 3.818
Ru 1.967 1.085 8.489
Ru 1.967 1.085 14.421
Ru 1.967 -1.085 0.852
Ru 1.967 -1.085 6.785
Ru 1.967 -1.851 11.455

[2]
4
Lattice="2.639 -4.173 0.000 2.639 4.173 0.000 0.000 0.000 2.821" Properties=species:S:1:pos:R:3 comment="SiMo2Au | the Alexandria database | GGA-PBE | optimized geometry" spacegroup="Cmmm (65)" e_tot_ev_per_atom=-7.441 raw_formation_energy_mev_per_atom=149 dos_at_fermi_per_ev_cell=2.35 pbc="T T T"
Si 0.000 0.000 0.000
Mo 1.319 2.087 1.410
Mo 1.319 -2.087 1.410
Au 2.639 0.000 0.000